# HgSbPb2 | Alexandria via LeMat-Bulk | meta-GGA SCAN | PBEsol geometry
data_HgSbPb2
_symmetry_space_group_name_H-M 'F m -3 m'
_symmetry_Int_Tables_number 225
_symmetry_space_group_name_Hall '-F 4 2 3'
_cell_length_a 7.611
_cell_length_b 7.611
_cell_length_c 7.611
_cell_angle_alpha 90.00
_cell_angle_beta 90.00
_cell_angle_gamma 90.00
loop_
_atom_site_label
_atom_site_type_symbol
_atom_site_fract_x
_atom_site_fract_y
_atom_site_fract_z
_atom_site_occupancy
Hg1 Hg 0.000 0.000 0.000 1
Sb1 Sb 0.000 0.000 0.500 1
Pb1 Pb 0.250 0.250 0.250 1
# Spin magnetization   0.00 μB per atom
# DFT total energy   -1027.1 eV per cell
# Calculated volume   27.56 A^3/atom